First-principles (PBE+U) data for an optimized crystal structure of CeVO5, as listed in the Alexandria database.

Properties
Its energy above the lowest structure with this stoichiometry is 0.0 kJ/mol of atoms. The value obtained for the volume is 192 Å³/cell.

Lattice parameters (Å, degrees): 5.4592 5.4592 7.4902 109.89 109.89 71.75
Sites, in units of the cell vectors:
Ce (0.0531, 0.9469, 0.7500)
Ce (0.9469, 0.0531, 0.2500)
V (0.5000, 0.5000, 0.0000)
V (0.5000, 0.5000, 0.5000)
O (0.2000, 0.7812, 0.0345)
O (0.2188, 0.8000, 0.4655)
O (0.2546, 0.2879, 0.3844)
O (0.2879, 0.2546, 0.8844)
O (0.4335, 0.5665, 0.7500)
O (0.5665, 0.4335, 0.2500)
O (0.7121, 0.7454, 0.1156)
O (0.7454, 0.7121, 0.6156)
O (0.7812, 0.2000, 0.5345)
O (0.8000, 0.2188, 0.9655)